## YH3O (GGA-PBE)

Data for a relaxed structure of YH3O.

The structure belongs to space group Pm-3m (No. 221); the cell edges are 3.499, 3.499 and 3.499 Å and the angles 90.00°, 90.00° and 90.00°. The asymmetric unit holds Y at (0.000, 0.000, 0.000), H at (0.000, 0.500, 0.500) and O at (0.500, 0.500, 0.500).

For the total energy, the calculation gives -4.10 eV/atom. Its calculated volume is 8.57 Å³/atom.



## YHO2 (GGA-PBE)

Data for a relaxed structure of YHO2.

The structure belongs to space group R-3m (No. 166, hexagonal axes); the cell edges are 3.4988, 3.4988 and 13.7125 Å and the angles 90.00°, 90.00° and 120.00°. The asymmetric unit holds Y at (0.0000, 0.0000, 0.0000), H at (0.0000, 0.0000, 0.5000) and O at (0.0000, 0.0000, 0.4116).

For the total energy, the calculation gives -7.49 eV/atom. Its calculated volume is 12.11 Å³/atom.